# RbBaTeI2

An optimized crystal structure of RbBaTeI2 (PBE-GGA, Alexandria).

- space-group type = P4/mmm
- total magnetization (μB per formula unit) = 1.02
- DFT total energy (eV/atom) = -2.961
- volume (Å³/cell) = 310

Cell lengths 6.7711, 6.7711, 6.7633 Å; angles 90.00, 90.00, 90.00 degrees
Last column: nearest neighbours and their distance in Å.
Element x y z (fractional)
I 0.0000 0.5000 0.0000  2 Ba 3.39
I 0.5000 0.0000 0.0000  2 Ba 3.39
Te 0.0000 0.0000 0.5000  2 Ba 3.38
Ba 0.0000 0.0000 0.0000  2 Te 3.38, 4 I 3.39
Rb 0.5000 0.5000 0.5000  8 I 4.79, 4 Te 4.79

---

# Rb2BaTlI6

An optimized crystal structure of Rb2BaTlI6 (PBE-GGA, Alexandria).

- space-group type = I4/mmm
- total magnetization (μB per formula unit) = 0.00
- DFT total energy (eV/atom) = -2.685
- volume (Å³/cell) = 559

Cell lengths 9.2490, 9.2490, 9.2442 Å; angles 59.98, 59.98, 90.00 degrees
Last column: nearest neighbours and their distance in Å.
Element x y z (fractional)
I 0.2425 0.2425 0.5149  1 Tl 3.17, 1 Ba 3.36
I 0.7575 0.7575 0.4851  1 Tl 3.17, 1 Ba 3.36
I 0.2427 0.2427 0.0000  1 Tl 3.17, 1 Ba 3.37
I 0.7573 0.7573 0.0000  1 Tl 3.17, 1 Ba 3.37
I 0.7573 0.2427 0.0000  1 Tl 3.17, 1 Ba 3.37
I 0.2427 0.7573 0.0000  1 Tl 3.17, 1 Ba 3.37
Tl 0.0000 0.0000 0.0000  6 I 3.17
Ba 0.5000 0.5000 0.0000  6 I 3.36-3.37
Rb 0.7500 0.2500 0.5000  12 I 4.62-4.63
Rb 0.2500 0.7500 0.5000  12 I 4.62-4.63

---

# Rb2BaTlI5

An optimized crystal structure of Rb2BaTlI5 (PBE-GGA, Alexandria).

- space-group type = P4/mmm
- total magnetization (μB per formula unit) = 0.14
- DFT total energy (eV/atom) = -2.819
- volume (Å³/cell) = 583

Cell lengths 6.5969, 6.5969, 13.3872 Å; angles 90.00, 90.00, 90.00 degrees
Last column: nearest neighbours and their distance in Å.
Element x y z (fractional)
Rb 0.5000 0.5000 0.2726  1 I 3.65
Rb 0.5000 0.5000 0.7274  1 I 3.65
Ba 0.0000 0.0000 0.5000  6 I 3.30-3.40
Tl 0.0000 0.0000 0.0000  2 I 3.29
I 0.0000 0.5000 0.5000  2 Ba 3.30
I 0.5000 0.0000 0.5000  2 Ba 3.30
I 0.0000 0.0000 0.7541  1 Tl 3.29, 1 Ba 3.40
I 0.0000 0.0000 0.2459  1 Tl 3.29, 1 Ba 3.40
I 0.5000 0.5000 0.0000  2 Rb 3.65

---

# RbBa2TlI6

An optimized crystal structure of RbBa2TlI6 (PBE-GGA, Alexandria).

- space-group type = R3
- total magnetization (μB per formula unit) = 0.00
- DFT total energy (eV/atom) = -3.133
- volume (Å³/cell) = 554

Cell lengths 9.0307, 9.0303, 9.4168 Å; angles 61.33, 61.34, 59.99 degrees
Last column: nearest neighbours and their distance in Å.
Element x y z (fractional)
Rb 0.8066 0.8067 0.5800  6 I 3.67-3.79
Ba 0.5167 0.5166 0.4502  6 I 3.46-3.51
Ba 0.0131 0.0131 0.9608  6 I 3.46-3.50
Tl 0.3145 0.3145 0.0563  6 I 3.57-3.60
I 0.6284 0.2290 0.2419  2 Ba 3.46-3.50, 1 Tl 3.60, 1 Rb 3.79
I 0.2288 0.9007 0.2419  2 Ba 3.46-3.50, 1 Tl 3.60, 1 Rb 3.79
I 0.9008 0.6284 0.2421  2 Ba 3.46-3.50, 1 Tl 3.60, 1 Rb 3.79
I 0.3861 0.7225 0.7473  2 Ba 3.46-3.51, 1 Tl 3.57, 1 Rb 3.67
I 0.7226 0.1440 0.7473  2 Ba 3.46-3.51, 1 Tl 3.57, 1 Rb 3.67
I 0.1441 0.3862 0.7474  2 Ba 3.46-3.51, 1 Tl 3.57, 1 Rb 3.67